{"formula": "Cs4Pm3HoTe8", "functional": "PBE", "state": "relaxed", "lattice": [[4.624, 2.670, 8.937], [-4.624, 2.670, 8.937], [0.000, -5.340, 8.937]], "species": ["Cs", "Cs", "Cs", "Cs", "Pm", "Pm", "Pm", "Ho", "Te", "Te", "Te", "Te", "Te", "Te", "Te", "Te"], "frac_coords": [[0.000, 0.000, 0.000], [0.000, 0.500, 0.500], [0.500, 0.000, 0.500], [0.500, 0.500, 0.000], [0.000, 0.000, 0.500], [0.000, 0.500, 0.000], [0.500, 0.000, 0.000], [0.500, 0.500, 0.500], [0.232, 0.232, 0.232], [0.237, 0.727, 0.727], [0.273, 0.273, 0.763], [0.273, 0.763, 0.273], [0.727, 0.237, 0.727], [0.727, 0.727, 0.237], [0.763, 0.273, 0.273], [0.768, 0.768, 0.768]], "raw_formation_energy_ev_per_atom": -1.40, "total_energy_ev_per_atom": -4.36}